[1]
Density functional theory data (GGA-PBEsol) for a geometry-optimized Ag2PPt structure.

It has space group Cm (No. 8), with a = 9.957 Å, b = 3.256 Å, c = 4.413 Å, α = 90.00°, β = 116.10° and γ = 90.00°. The distinct sites, in fractional coordinates, are Ag at (0.000, 0.000, 0.000), Ag at (0.208, 0.000, 0.707), P at (0.453, 0.000, 0.454) and Pt at (0.274, 0.500, 0.272).

The uncorrected energy is -38.696 eV/cell. For the formation energy, the calculation gives 3 kJ/mol of formula units. For the spin magnetization, the calculation gives 0.00 μB per cell.

***

[2]
Density functional theory data (GGA-PBEsol) for a geometry-optimized BeInOs structure.

It has space group Fmm2 (No. 42), with a = 3.024 Å, b = 4.765 Å, c = 12.538 Å, α = 90.00°, β = 90.00° and γ = 90.00°. The distinct sites, in fractional coordinates, are Be at (0.000, 0.000, 0.000), In at (0.000, 0.000, 0.681) and Os at (0.000, 0.000, 0.370).

The uncorrected energy is -70.091 eV/cell. For the formation energy, the calculation gives 162 kJ/mol of formula units. Its distance to the lowest polymorph of the same formula is 0.089 eV/atom. For the spin magnetization, the calculation gives 0.00 μB per cell.

***

[3]
Density functional theory data (GGA-PBEsol) for a geometry-optimized TiNiSbAs2 structure.

It has space group P4/mmm (No. 123), with a = 4.802 Å, b = 4.802 Å, c = 4.495 Å, α = 90.00°, β = 90.00° and γ = 90.00°. The distinct sites, in fractional coordinates, are Ti at (0.000, 0.000, 0.000), Ni at (0.000, 0.000, 0.500), Sb at (0.500, 0.500, 0.500) and As at (0.000, 0.500, 0.000).

The uncorrected energy is -26.979 eV/cell. For the spin magnetization, the calculation gives 0.00 μB per cell. Its formation energy (no corrections) is 2.3 eV/f.u.

***

[4]
Density functional theory data (GGA-PBEsol) for a geometry-optimized Li3AlH structure.

It has space group Pm-3m (No. 221), with a = 3.998 Å, b = 3.998 Å, c = 3.998 Å, α = 90.00°, β = 90.00° and γ = 90.00°. The distinct sites, in fractional coordinates, are Li at (0.000, 0.000, 0.500), Al at (0.500, 0.500, 0.500) and H at (0.000, 0.000, 0.000).

The uncorrected energy is -13.917 eV/cell. For the spin magnetization, the calculation gives 0.00 μB per cell.

***

[5]
Density functional theory data (GGA-PBEsol) for a geometry-optimized Sc2CrRe structure.

It has space group F-43m (No. 216), with a = 6.335 Å, b = 6.335 Å, c = 6.335 Å, α = 90.00°, β = 90.00° and γ = 90.00°. The distinct sites, in fractional coordinates, are Sc at (0.000, 0.000, 0.000), Sc at (0.250, 0.250, 0.250), Cr at (0.000, 0.000, 0.500) and Re at (0.250, 0.250, 0.750).

The uncorrected energy is -143.896 eV/cell. For the formation energy, the calculation gives 78 kJ/mol of formula units. Its distance to the lowest polymorph of the same formula is 0.000 eV/atom. For the spin magnetization, the calculation gives 0.01 μB per cell.

***

[6]
Density functional theory data (GGA-PBEsol) for a geometry-optimized MgPtBr structure.

It has space group Fmm2 (No. 42), with a = 4.438 Å, b = 4.447 Å, c = 11.208 Å, α = 90.00°, β = 90.00° and γ = 90.00°. The distinct sites, in fractional coordinates, are Mg at (0.000, 0.000, 0.000), Pt at (0.000, 0.000, 0.361) and Br at (0.000, 0.000, 0.660).

The uncorrected energy is -45.991 eV/cell. For the spin magnetization, the calculation gives 0.00 μB per cell. Its formation energy (no corrections) is -0.9 eV/f.u.

***

[7]
Density functional theory data (GGA-PBEsol) for a geometry-optimized ReNi2W structure.

It has space group Cmmm (No. 65), with a = 5.192 Å, b = 7.547 Å, c = 2.599 Å, α = 90.00°, β = 90.00° and γ = 90.00°. The distinct sites, in fractional coordinates, are Re at (0.000, 0.000, 0.000), Ni at (0.250, 0.250, 0.500) and W at (0.000, 0.500, 0.000).

The uncorrected energy is -78.517 eV/cell. For the formation energy, the calculation gives 19 kJ/mol of formula units. For the spin magnetization, the calculation gives 0.00 μB per cell.

***

[8]
Density functional theory data (GGA-PBEsol) for a geometry-optimized ScAg2Pb structure.

It has space group P2/m (No. 10), with a = 3.189 Å, b = 5.043 Å, c = 5.092 Å, α = 90.00°, β = 91.35° and γ = 90.00°. The distinct sites, in fractional coordinates, are Sc at (0.000, 0.000, 0.000), Ag at (0.280, 0.500, 0.765) and Pb at (0.500, 0.000, 0.500).

The uncorrected energy is -17.610 eV/cell. For the formation energy, the calculation gives -37 kJ/mol of formula units. For the spin magnetization, the calculation gives 0.16 μB per cell.

***

[9]
Density functional theory data (GGA-PBEsol) for a geometry-optimized HgGeI2N structure.

It has space group P4/mmm (No. 123), with a = 6.001 Å, b = 6.001 Å, c = 3.466 Å, α = 90.00°, β = 90.00° and γ = 90.00°. The distinct sites, in fractional coordinates, are Hg at (0.000, 0.000, 0.000), Ge at (0.500, 0.500, 0.500), I at (0.000, 0.500, 0.500) and N at (0.500, 0.500, 0.000).

The uncorrected energy is -15.295 eV/cell. For the spin magnetization, the calculation gives 0.00 μB per cell. Its formation energy (no corrections) is 2.3 eV/f.u.

***

[10]
Density functional theory data (GGA-PBEsol) for a geometry-optimized U2TlSe6 structure.

It has space group Immm (No. 71), with a = 3.898 Å, b = 5.483 Å, c = 21.427 Å, α = 90.00°, β = 90.00° and γ = 90.00°. The distinct sites, in fractional coordinates, are U at (0.000, 0.000, 0.181), Tl at (0.000, 0.500, 0.000), Se at (0.000, 0.248, 0.392) and Se at (0.000, 0.500, 0.223).

The uncorrected energy is -115.184 eV/cell. For the spin magnetization, the calculation gives 7.09 μB per cell. Its formation energy (no corrections) is -7.5 eV/f.u.

***

[11]
Density functional theory data (GGA-PBEsol) for a geometry-optimized LiAlZn structure.

It has space group P3m1 (No. 156), with a = 4.3667 Å, b = 4.3667 Å, c = 2.7907 Å, α = 90.00°, β = 90.00° and γ = 120.00°. The distinct sites, in fractional coordinates, are Li at (0.0000, 0.0000, 0.0000), Al at (0.6667, 0.3333, 0.5532) and Zn at (0.3333, 0.6667, 0.4070).

The uncorrected energy is -7.983 eV/cell. For the formation energy, the calculation gives -33 kJ/mol of formula units. Its distance to the lowest polymorph of the same formula is 0.000 eV/atom. For the spin magnetization, the calculation gives 0.00 μB per cell.

***

[12]
Density functional theory data (GGA-PBEsol) for a geometry-optimized LiTe structure.

It has space group P2_1/m (No. 11), with a = 3.040 Å, b = 4.544 Å, c = 7.026 Å, α = 90.00°, β = 98.54° and γ = 90.00°. The distinct sites, in fractional coordinates, are Li at (0.221, 0.250, 0.360) and Te at (0.322, 0.250, 0.768).

The uncorrected energy is -13.596 eV/cell. Its distance to the lowest polymorph of the same formula is 0.000 eV/atom. For the spin magnetization, the calculation gives 0.00 μB per cell. Its formation energy (no corrections) is -1.3 eV/f.u.